A relaxed Mg2ScOs crystal, computed with PBE.

ΔE to the lowest computed polymorph: 40.9 kJ per mole of atoms
Formation energy from the elements: 0.33 eV per atom
Uncorrected energy: -38.9 eV/cell
SG: I-42d (122)

Unit cell a=10.525 b=10.525 c=10.525 alpha=158.50 beta=158.50 gamma=30.59
Sites, in units of the cell vectors:
1 Mg 0.102 0.625 0.977
2 Mg 0.375 0.352 0.477
3 Mg 0.648 0.125 0.023
4 Mg 0.875 0.898 0.523
5 Sc 0.250 0.750 0.500
6 Sc 0.500 0.500 0.000
7 Os 0.000 0.000 0.000
8 Os 0.750 0.250 0.500